This record from the Alexandria database describes Pm2AlCu5 after structural relaxation. The functional is PBE.

```
Pm2AlCu5
1.0
-3.4470 0.1740 -2.9382
0.8198 -4.2889 -1.2158
-2.8734 -0.0991 6.8613
Pm Al Cu
2 1 5
Direct
0.7468 0.7468 0.4936 Pm
0.2532 0.2532 0.5064 Pm
0.0000 0.0000 0.0000 Al
0.5000 0.5000 0.0000 Cu
0.9054 0.4054 0.8108 Cu
0.4054 0.9054 0.8108 Cu
0.0946 0.5946 0.1892 Cu
0.5946 0.0946 0.1892 Cu
```

Summary:
- Density of states at the Fermi level: 5.2 states/eV per cell
- Calculated density: 7.64 g/cm³
- Magnetization: 0.000 μB/f.u.
- V: 137.93 Å³/cell
- Energy relative to the elements: -0.08 eV/atom